## Tl2CuSi (PBE)

Data for a relaxed Tl2CuSi crystal.

## Properties
For the uncorrected formation energy, the calculation gives 515.6 meV/atom. As for the energy above the most stable polymorph in this dataset: 361 meV/atom. The total energy is -12.19 eV per formula unit. The value obtained for the density of states at the Fermi level is 1.11 states/eV/f.u.

Unit cell a=3.671 b=3.341 c=7.555 alpha=70.74 beta=90.00 gamma=90.00
Positions (direct):
1 Cu 0.500 0.250 0.250
2 Si 0.500 0.750 0.750
3 Tl 0.000 0.002 0.012
4 Tl 0.000 0.498 0.488

## Cd3Tc (PBE)

Data for a relaxed Cd3Tc crystal.

## Properties
As for the energy above the most stable polymorph in this dataset: 106 meV/atom. The total energy is -11.67 eV per formula unit. The value obtained for the density of states at the Fermi level is 2.89 states/eV/f.u. The energy of formation comes out at 1.4 eV per formula unit.

Unit cell a=2.873 b=4.399 c=6.015 alpha=90.00 beta=90.00 gamma=90.00
Positions (direct):
1 Cd 0.000 0.000 0.017
2 Cd 0.000 0.000 0.483
3 Cd 0.500 0.500 0.750
4 Tc 0.500 0.500 0.250

## Ba2BeFe (PBE)

Data for a relaxed Ba2BeFe crystal.

## Properties
The total energy is -13.78 eV per formula unit. The value obtained for the density of states at the Fermi level is 3.77 states/eV/f.u. The energy of formation comes out at 2.3 eV per formula unit.

Unit cell a=3.459 b=3.459 c=9.354 alpha=90.00 beta=90.00 gamma=90.00
Positions (direct):
1 Be 0.000 0.000 0.597
2 Ba 0.000 0.000 0.914
3 Ba 0.500 0.500 0.340
4 Fe 0.500 0.500 0.649

## CaAcAg2Se4 (PBE)

Data for a relaxed CaAcAg2Se4 crystal.

## Properties
For the uncorrected formation energy, the calculation gives -1080.3 meV/atom. The total energy is -34.39 eV per formula unit. The value obtained for the density of states at the Fermi level is 0.73 states/eV/f.u.

Unit cell a=7.378 b=6.577 c=6.577 alpha=68.24 beta=55.89 gamma=55.89
Positions (direct):
1 Ca 0.500 0.500 0.500
2 Ac 0.000 0.000 0.000
3 Ag 0.249 0.251 0.251
4 Ag 0.751 0.749 0.749
5 Se 0.506 0.049 0.494
6 Se 0.049 0.951 0.506
7 Se 0.951 0.494 0.049
8 Se 0.494 0.506 0.951

## Na5Tl12Au2 (PBE)

Data for a relaxed Na5Tl12Au2 crystal.

## Properties
The total energy is -42.80 eV per formula unit. The value obtained for the density of states at the Fermi level is 7.82 states/eV/f.u. The energy of formation comes out at -1.2 eV per formula unit.

Unit cell a=8.037 b=8.691 c=9.188 alpha=105.40 beta=115.94 gamma=90.00
Positions (direct):
1 Na 0.745 0.777 0.490
2 Na 0.674 0.179 0.348
3 Na 0.000 0.500 0.000
4 Na 0.326 0.821 0.652
5 Na 0.255 0.223 0.510
6 Tl 0.060 0.182 0.120
7 Tl 0.338 0.878 0.287
8 Tl 0.949 0.878 0.287
9 Tl 0.395 0.491 0.302
10 Tl 0.907 0.491 0.302
11 Tl 0.516 0.696 0.031
12 Tl 0.484 0.304 0.969
13 Tl 0.605 0.509 0.698
14 Tl 0.093 0.509 0.698
15 Tl 0.662 0.122 0.713
16 Tl 0.051 0.122 0.713
17 Tl 0.940 0.818 0.880
18 Au 0.678 0.000 0.000
19 Au 0.322 0.000 0.000

## TcAs5 (PBE)

Data for a relaxed TcAs5 crystal.

## Properties
As for the energy above the most stable polymorph in this dataset: 302 meV/atom. The total energy is -31.49 eV per formula unit. The value obtained for the density of states at the Fermi level is 4.80 states/eV/f.u. The energy of formation comes out at 2.1 eV per formula unit.

Unit cell a=7.336 b=7.336 c=4.098 alpha=90.00 beta=90.00 gamma=147.39
Positions (direct):
1 Tc 0.500 0.500 0.000
2 As 0.366 0.634 0.500
3 As 0.133 0.867 0.000
4 As 0.000 0.000 0.500
5 As 0.867 0.133 0.000
6 As 0.634 0.366 0.500

## K2AcI4 (PBE)

Data for a relaxed K2AcI4 crystal.

## Properties
For the uncorrected formation energy, the calculation gives -1252.7 meV/atom. The total energy is -21.27 eV per formula unit. The value obtained for the density of states at the Fermi level is 3.50 states/eV/f.u.

Unit cell a=6.541 b=6.541 c=10.117 alpha=108.86 beta=108.86 gamma=90.00
Positions (direct):
1 I 0.819 0.819 0.639
2 I 0.181 0.181 0.361
3 I 0.000 0.500 0.000
4 I 0.500 0.000 0.000
5 Ac 0.000 0.000 0.000
6 K 0.628 0.628 0.256
7 K 0.372 0.372 0.744

## MoPC3 (PBE)

Data for a relaxed MoPC3 crystal.

## Properties
As for the energy above the most stable polymorph in this dataset: 442 meV/atom. The total energy is -32.04 eV per formula unit. The value obtained for the density of states at the Fermi level is 4.71 states/eV/f.u. The energy of formation comes out at 11.9 eV per formula unit.

Unit cell a=4.104 b=4.104 c=4.104 alpha=90.00 beta=90.00 gamma=90.00
Positions (direct):
1 P 0.500 0.500 0.500
2 Mo 0.000 0.000 0.000
3 C 0.000 0.500 0.000
4 C 0.000 0.000 0.500
5 C 0.500 0.000 0.000

## Sc3GaO (PBE)

Data for a relaxed Sc3GaO crystal.

## Properties
For the uncorrected formation energy, the calculation gives -659.7 meV/atom. The total energy is -30.28 eV per formula unit. The value obtained for the density of states at the Fermi level is 8.36 states/eV/f.u.

Unit cell a=4.206 b=4.206 c=7.401 alpha=90.00 beta=90.00 gamma=90.00
Positions (direct):
1 Sc 0.000 0.000 0.795
2 Sc 0.500 0.000 0.436
3 Sc 0.000 0.500 0.436
4 O 0.500 0.500 0.433
5 Ga 0.000 0.000 0.164

## Ce3Se3N (PBE)

Data for a relaxed Ce3Se3N crystal.

## Properties
For the uncorrected formation energy, the calculation gives -1753.2 meV/atom. As for the energy above the most stable polymorph in this dataset: 17 meV/atom. The total energy is -48.85 eV per formula unit. The value obtained for the density of states at the Fermi level is 16.91 states/eV/f.u.

Unit cell a=7.427 b=7.519 c=12.867 alpha=90.00 beta=90.00 gamma=108.05
Positions (direct):
1 Ce 0.009 0.808 0.075
2 Ce 0.491 0.692 0.575
3 Ce 0.991 0.192 0.925
4 Ce 0.509 0.308 0.425
5 Ce 0.441 0.244 0.082
6 Ce 0.059 0.256 0.582
7 Ce 0.559 0.756 0.918
8 Ce 0.941 0.744 0.418
9 Ce 0.496 0.249 0.720
10 Ce 0.004 0.251 0.220
11 Ce 0.504 0.751 0.280
12 Ce 0.996 0.749 0.780
13 Se 0.727 0.434 0.912
14 Se 0.773 0.066 0.412
15 Se 0.273 0.566 0.088
16 Se 0.227 0.934 0.588
17 Se 0.819 0.500 0.606
18 Se 0.681 0.000 0.106
19 Se 0.181 0.500 0.394
20 Se 0.319 0.000 0.894
21 Se 0.246 0.494 0.782
22 Se 0.254 0.006 0.282
23 Se 0.754 0.506 0.218
24 Se 0.746 0.994 0.718
25 N 0.382 0.367 0.577
26 N 0.118 0.133 0.077
27 N 0.618 0.633 0.423
28 N 0.882 0.867 0.923

## LaMg2Re (PBE)

Data for a relaxed LaMg2Re crystal.

## Properties
As for the energy above the most stable polymorph in this dataset: 89 meV/atom. The total energy is -19.00 eV per formula unit. The value obtained for the density of states at the Fermi level is 4.10 states/eV/f.u. The energy of formation comes out at 1.6 eV per formula unit.

Unit cell a=2.921 b=2.921 c=10.070 alpha=90.00 beta=90.00 gamma=90.00
Positions (direct):
1 La 0.500 0.500 0.750
2 Mg 0.000 0.000 0.048
3 Mg 0.000 0.000 0.452
4 Re 0.500 0.500 0.250

## Pr2Dy3Y6Sc (PBE)

Data for a relaxed Pr2Dy3Y6Sc crystal.

## Properties
The total energy is -68.15 eV per formula unit. The value obtained for the density of states at the Fermi level is 16.60 states/eV/f.u. The energy of formation comes out at 0.3 eV per formula unit.

Unit cell a=6.164 b=6.164 c=11.818 alpha=94.97 beta=94.97 gamma=119.97
Positions (direct):
1 Pr 0.333 0.667 0.000
2 Pr 0.667 0.333 0.000
3 Dy 0.166 0.834 0.500
4 Dy 0.834 0.166 0.500
5 Dy 0.500 0.500 0.500
6 Y 0.917 0.586 0.749
7 Y 0.754 0.754 0.251
8 Y 0.083 0.414 0.251
9 Y 0.586 0.917 0.749
10 Y 0.246 0.246 0.749
11 Y 0.414 0.083 0.251
12 Sc 0.000 0.000 0.000

## Na2Cd5InAg2 (PBE)

Data for a relaxed Na2Cd5InAg2 crystal.

## Properties
The total energy is -16.23 eV per formula unit. The value obtained for the density of states at the Fermi level is 3.90 states/eV/f.u. The energy of formation comes out at -0.6 eV per formula unit.

Unit cell a=4.665 b=10.060 c=10.060 alpha=90.00 beta=90.00 gamma=90.00
Positions (direct):
1 Na 0.000 0.679 0.179
2 Na 0.000 0.321 0.821
3 Na 0.000 0.179 0.321
4 Na 0.000 0.821 0.679
5 Cd 0.500 0.207 0.072
6 Cd 0.500 0.793 0.928
7 Cd 0.500 0.072 0.793
8 Cd 0.500 0.707 0.428
9 Cd 0.500 0.928 0.207
10 Cd 0.500 0.293 0.572
11 Cd 0.500 0.572 0.707
12 Cd 0.500 0.428 0.293
13 Cd 0.500 0.500 0.000
14 Cd 0.500 0.000 0.500
15 In 0.000 0.000 0.000
16 In 0.000 0.500 0.500
17 Ag 0.000 0.114 0.614
18 Ag 0.000 0.886 0.386
19 Ag 0.000 0.614 0.886
20 Ag 0.000 0.386 0.114

## SiPCCl2 (PBE)

Data for a relaxed SiPCCl2 crystal.

## Properties
For the uncorrected formation energy, the calculation gives 1275.2 meV/atom. As for the energy above the most stable polymorph in this dataset: 0 meV/atom. The total energy is -17.37 eV per formula unit. The value obtained for the density of states at the Fermi level is 3.04 states/eV/f.u.

Unit cell a=4.384 b=4.384 c=4.199 alpha=90.00 beta=90.00 gamma=90.00
Positions (direct):
1 P 0.000 0.000 0.500
2 Si 0.500 0.500 0.500
3 C 0.000 0.000 0.000
4 Cl 0.000 0.500 0.000
5 Cl 0.500 0.000 0.000

## TlCd2H (PBE)

Data for a relaxed TlCd2H crystal.

## Properties
As for the energy above the most stable polymorph in this dataset: 326 meV/atom. The total energy is -5.51 eV per formula unit. The value obtained for the density of states at the Fermi level is 1.44 states/eV/f.u.

Unit cell a=4.982 b=4.982 c=4.982 alpha=60.00 beta=60.00 gamma=60.00
Positions (direct):
1 H 0.000 0.000 0.000
2 Tl 0.500 0.500 0.500
3 Cd 0.250 0.250 0.250
4 Cd 0.750 0.750 0.750

## LaPr4Ni2 (PBE)

Data for a relaxed LaPr4Ni2 crystal.

## Properties
The total energy is -36.13 eV per formula unit. The value obtained for the density of states at the Fermi level is 8.96 states/eV/f.u. The energy of formation comes out at -0.5 eV per formula unit.

Unit cell a=6.859 b=7.298 c=8.640 alpha=112.28 beta=90.00 gamma=90.00
Positions (direct):
1 La 0.250 0.876 0.971
2 La 0.750 0.124 0.029
3 Pr 0.509 0.401 0.774
4 Pr 0.250 0.255 0.357
5 Pr 0.750 0.745 0.643
6 Pr 0.991 0.401 0.774
7 Pr 0.750 0.041 0.396
8 Pr 0.009 0.599 0.226
9 Pr 0.491 0.599 0.226
10 Pr 0.250 0.959 0.604
11 Ni 0.250 0.272 0.993
12 Ni 0.750 0.728 0.007
13 Ni 0.750 0.390 0.372
14 Ni 0.250 0.610 0.628

## VTc2Rh2 (PBE)

Data for a relaxed VTc2Rh2 crystal.

## Properties
As for the energy above the most stable polymorph in this dataset: 0 meV/atom. The total energy is -43.81 eV per formula unit. The value obtained for the density of states at the Fermi level is 6.19 states/eV/f.u. The energy of formation comes out at 0.7 eV per formula unit.

Unit cell a=7.488 b=7.488 c=2.686 alpha=90.00 beta=90.00 gamma=90.00
Positions (direct):
1 Rh 0.377 0.877 0.000
2 Rh 0.877 0.623 0.000
3 Rh 0.623 0.123 0.000
4 Rh 0.123 0.377 0.000
5 Tc 0.174 0.674 0.500
6 Tc 0.674 0.826 0.500
7 Tc 0.826 0.326 0.500
8 Tc 0.326 0.174 0.500
9 V 0.000 0.000 0.000
10 V 0.500 0.500 0.000

## AlTlRu2 (PBE)

Data for a relaxed AlTlRu2 crystal.

## Properties
As for the energy above the most stable polymorph in this dataset: 112 meV/atom. The total energy is -24.04 eV per formula unit. The value obtained for the density of states at the Fermi level is 2.02 states/eV/f.u. The energy of formation comes out at 0.6 eV per formula unit.

Unit cell a=2.904 b=2.904 c=8.250 alpha=90.00 beta=90.00 gamma=90.00
Positions (direct):
1 Ru 0.000 0.000 0.008
2 Ru 0.500 0.500 0.205
3 Tl 0.000 0.000 0.477
4 Al 0.500 0.500 0.809

## CsYNb2 (PBE)

Data for a relaxed CsYNb2 crystal.

## Properties
As for the energy above the most stable polymorph in this dataset: 0 meV/atom. The total energy is -21.19 eV per formula unit. The value obtained for the density of states at the Fermi level is 4.23 states/eV/f.u. The energy of formation comes out at 6.3 eV per formula unit.

Unit cell a=4.710 b=4.710 c=11.643 alpha=78.33 beta=78.33 gamma=90.00
Positions (direct):
1 Cs 0.000 0.000 0.000
2 Cs 0.750 0.250 0.500
3 Y 0.500 0.500 0.000
4 Y 0.250 0.750 0.500
5 Nb 0.489 0.125 0.250
6 Nb 0.261 0.625 0.250
7 Nb 0.375 0.511 0.750
8 Nb 0.875 0.739 0.750

## Rb2YScS4 (PBE)

Data for a relaxed Rb2YScS4 crystal.

## Properties
For the uncorrected formation energy, the calculation gives -1775.6 meV/atom. The total energy is -45.45 eV per formula unit. The value obtained for the density of states at the Fermi level is 0.00 states/eV/f.u.

Unit cell a=3.983 b=6.894 c=7.985 alpha=106.70 beta=90.00 gamma=90.00
Positions (direct):
1 Rb 0.500 0.000 0.500
2 Rb 0.000 0.500 0.500
3 Y 0.500 0.500 0.000
4 Sc 0.000 0.000 0.000
5 S 0.500 0.217 0.185
6 S 0.500 0.783 0.815
7 S 0.000 0.259 0.810
8 S 0.000 0.741 0.190